Entry 1:
BaCdGe: optimized geometry, PBE.

Output
total magnetic moment = 0.00 μB/f.u.
formation enthalpy at 0 K = -434.4 meV per atom
raw total energy = -2.919 eV/atom
DOS(E_F) = 0.526 states/eV per atom

Cell: 4.7038 4.9265 8.1439 Å, 90.00 90.00 90.00°
Space group Pmmm (No. 47)
Unique sites:
1 Ba 0.0000 0.0000 0.0000 (multiplicity 1)
2 Ba 0.5000 0.0000 0.5000 (multiplicity 1)
3 Cd 0.0000 0.5000 0.3241 (multiplicity 2)
4 Ge 0.5000 0.5000 0.1558 (multiplicity 2)

***

Entry 2:
BaCdGe: optimized geometry, PBE.

Output
total magnetic moment = 0.00 μB/f.u.
formation enthalpy at 0 K = -450.6 meV per atom
raw total energy = -2.936 eV/atom
DOS(E_F) = 0.347 states/eV per atom

Cell: 4.6892 4.6892 4.9629 Å, 90.00 90.00 120.00°
Space group P-6m2 (No. 187)
Unique sites:
1 Ba 0.0000 0.0000 0.0000 (multiplicity 1)
2 Cd 0.6667 0.3333 0.5000 (multiplicity 1)
3 Ge 0.3333 0.6667 0.5000 (multiplicity 1)

***

Entry 3:
BaCd2Ge: optimized geometry, PBE.

Output
total magnetic moment = 0.00 μB/f.u.
formation enthalpy at 0 K = -332.5 meV per atom
raw total energy = -2.425 eV/atom
DOS(E_F) = 0.310 states/eV per atom

Cell: 4.5885 4.5885 11.0649 Å, 90.00 90.00 90.00°
Space group P4/nmm (No. 129, origin choice 2)
Unique sites:
1 Ba 0.2500 0.2500 0.2459 (multiplicity 2)
2 Cd 0.2500 0.2500 0.9345 (multiplicity 2)
3 Cd 0.2500 0.7500 0.5000 (multiplicity 2)
4 Ge 0.2500 0.2500 0.6554 (multiplicity 2)

***

Entry 4:
BaCdGe: optimized geometry, PBE.

Output
total magnetic moment = 0.00 μB/f.u.
formation enthalpy at 0 K = -421.2 meV per atom
raw total energy = -2.906 eV/atom
DOS(E_F) = 0.714 states/eV per atom

Cell: 4.7851 4.7851 16.3964 Å, 90.00 90.00 90.00°
Space group I-4m2 (No. 119)
Unique sites:
1 Ba 0.0000 0.0000 0.0000 (multiplicity 2)
2 Ba 0.0000 0.5000 0.2500 (multiplicity 2)
3 Cd 0.0000 0.5000 0.6622 (multiplicity 4)
4 Ge 0.0000 0.0000 0.4222 (multiplicity 4)